No. 1
# TcRhSe2 PBE optimized geometry
data_TcRhSe2
_cell_length_a 3.1358
_cell_length_b 3.1358
_cell_length_c 28.1376
_cell_angle_alpha 90.00
_cell_angle_beta 90.00
_cell_angle_gamma 120.00
_symmetry_space_group_name_H-M 'R 3 m'
_symmetry_Int_Tables_number 160
_symmetry_space_group_name_Hall 'R 3 -2"'
loop_
_atom_site_label
_atom_site_type_symbol
_atom_site_fract_x
_atom_site_fract_y
_atom_site_fract_z
Tc1 Tc 0.0000 0.0000 0.0000
Rh1 Rh 0.0000 0.0000 0.2491
Se1 Se 0.0000 0.0000 0.5266
Se2 Se 0.0000 0.0000 0.7248
# Crystal system   trigonal
# Formation energy (no corrections)   -0.043 eV/atom
# Polymorph energy (0 for the lowest one)   65.0 meV/atom

***

No. 2
# TcRhSe2 PBE optimized geometry
data_TcRhSe2
_cell_length_a 8.7410
_cell_length_b 3.1939
_cell_length_c 4.9825
_cell_angle_alpha 90.00
_cell_angle_beta 102.32
_cell_angle_gamma 90.00
_symmetry_space_group_name_H-M 'C 1 m 1'
_symmetry_Int_Tables_number 8
loop_
_symmetry_equiv_pos_as_xyz
'x,y,z'
'x,-y,z'
'x+1/2,y+1/2,z'
'x+1/2,-y+1/2,z'
loop_
_atom_site_label
_atom_site_type_symbol
_atom_site_fract_x
_atom_site_fract_y
_atom_site_fract_z
Tc1 Tc 0.0000 0.0000 0.0000
Rh1 Rh 0.2885 0.5000 0.3864
Se1 Se 0.0121 0.5000 0.3911
Se2 Se 0.2782 0.0000 0.8271
# Crystal system   monoclinic
# Formation energy (no corrections)   0.015 eV/atom
# Polymorph energy (0 for the lowest one)   123.1 meV/atom

***

No. 3
# TcRhSe2 PBE optimized geometry
data_TcRhSe2
_cell_length_a 5.5894
_cell_length_b 5.5894
_cell_length_c 10.9926
_cell_angle_alpha 90.00
_cell_angle_beta 90.00
_cell_angle_gamma 90.00
_symmetry_space_group_name_H-M 'I -4 2 d'
_symmetry_Int_Tables_number 122
_symmetry_space_group_name_Hall 'I -4 2bw'
loop_
_atom_site_label
_atom_site_type_symbol
_atom_site_fract_x
_atom_site_fract_y
_atom_site_fract_z
Tc1 Tc 0.0000 0.0000 0.0000
Rh1 Rh 0.0000 0.0000 0.5000
Se1 Se 0.2452 0.2500 0.1250
# Crystal system   tetragonal
# Formation energy (no corrections)   0.037 eV/atom
# Polymorph energy (0 for the lowest one)   145.0 meV/atom

***

No. 4
# Tc3RhSe PBE optimized geometry
data_Tc3RhSe
_cell_length_a 4.6913
_cell_length_b 4.6913
_cell_length_c 4.6913
_cell_angle_alpha 90.00
_cell_angle_beta 90.00
_cell_angle_gamma 90.00
_symmetry_space_group_name_H-M 'P m -3 m'
_symmetry_Int_Tables_number 221
_symmetry_space_group_name_Hall '-P 4 2 3'
loop_
_atom_site_label
_atom_site_type_symbol
_atom_site_fract_x
_atom_site_fract_y
_atom_site_fract_z
Tc1 Tc 0.0000 0.0000 0.5000
Rh1 Rh 0.0000 0.0000 0.0000
Se1 Se 0.5000 0.5000 0.5000
# Crystal system   cubic
# Formation energy (no corrections)   1.871 eV/atom
# Polymorph energy (0 for the lowest one)   602.7 meV/atom

***

No. 5
# TcRhSe2 PBE optimized geometry
data_TcRhSe2
_cell_length_a 2.9893
_cell_length_b 4.9463
_cell_length_c 10.0079
_cell_angle_alpha 90.00
_cell_angle_beta 90.00
_cell_angle_gamma 90.00
_symmetry_space_group_name_H-M 'C m m 2'
_symmetry_Int_Tables_number 35
loop_
_symmetry_equiv_pos_as_xyz
'x,y,z'
'-x,-y,z'
'-x,y,z'
'x,-y,z'
'x+1/2,y+1/2,z'
'-x+1/2,-y+1/2,z'
'-x+1/2,y+1/2,z'
'x+1/2,-y+1/2,z'
loop_
_atom_site_label
_atom_site_type_symbol
_atom_site_fract_x
_atom_site_fract_y
_atom_site_fract_z
Tc1 Tc 0.0000 0.0000 0.0000
Rh1 Rh 0.0000 0.5000 0.2326
Se1 Se 0.0000 0.0000 0.4337
Se2 Se 0.0000 0.5000 0.8026
# Crystal system   orthorhombic
# Formation energy (no corrections)   0.334 eV/atom
# Polymorph energy (0 for the lowest one)   441.9 meV/atom

***

No. 6
# TcTeRh2Se PBE optimized geometry
data_TcTeRh2Se
_cell_length_a 4.7923
_cell_length_b 4.7923
_cell_length_c 5.4288
_cell_angle_alpha 90.00
_cell_angle_beta 90.00
_cell_angle_gamma 90.00
_symmetry_space_group_name_H-M 'P 4/m m m'
_symmetry_Int_Tables_number 123
_symmetry_space_group_name_Hall '-P 4 2'
loop_
_atom_site_label
_atom_site_type_symbol
_atom_site_fract_x
_atom_site_fract_y
_atom_site_fract_z
Tc1 Tc 0.0000 0.0000 0.0000
Te1 Te 0.5000 0.5000 0.5000
Rh1 Rh 0.0000 0.5000 0.5000
Se1 Se 0.5000 0.5000 0.0000
# Crystal system   tetragonal
# Formation energy (no corrections)   1.378 eV/atom